[1]
A plane-wave DFT calculation with PBE was carried out for a relaxed structure of V7Co2C2.

* calculated volume: 11.39 Å³ per atom
* crystal system: orthorhombic
* raw total energy: -98.3 eV/f.u.
* Fermi-level density of states: 9.88 states/eV/f.u.
* formation energy from the elements: -15.6 kJ/mol of atoms

a b c (Å): 2.8676 7.5299 7.5299
angles (deg): 52.05 79.02 79.02
Element x y z (fractional)
V 0.1805 0.7267 0.9123
V 0.1632 0.1137 0.5598
Co 0.5000 0.3613 0.6387
Co 0.0000 0.7063 0.2937
V 0.8368 0.4402 0.8863
C 0.7510 0.8468 0.6511
V 0.6369 0.4659 0.2602
C 0.2490 0.3489 0.1532
V 0.5000 0.0165 0.9835
V 0.8195 0.0877 0.2733
V 0.3631 0.7398 0.5341

[2]
A plane-wave DFT calculation with PBE was carried out for a relaxed structure of Zr2WSe.

* ΔE_f (raw): -0.5 kJ per mole of atoms
* calculated volume: 19.20 Å³ per atom
* crystal system: tetragonal
* raw total energy: -33.6 eV/f.u.
* Fermi-level density of states: 3.35 states/eV/f.u.

a b c (Å): 4.9674 4.9674 4.9674
angles (deg): 126.38 126.38 79.26
Element x y z (fractional)
Zr 0.0000 0.0000 0.0000
Se 0.2500 0.7500 0.5000
W 0.7500 0.2500 0.5000
Zr 0.5000 0.5000 0.0000

[3]
A plane-wave DFT calculation with PBE was carried out for a relaxed structure of ThP2Pd7Pb2.

* calculated volume: 19.94 Å³ per atom
* crystal system: monoclinic
* raw total energy: -67.9 eV/f.u.
* Fermi-level density of states: 6.13 states/eV/f.u.
* formation energy from the elements: -47.8 kJ/mol of atoms

a b c (Å): 4.5846 4.5846 11.5605
angles (deg): 86.73 86.73 98.71
Element x y z (fractional)
Pd 0.1509 0.5550 0.8098
Pd 0.3805 0.3805 0.3943
Pd 0.5000 0.5000 0.0000
Pd 0.5550 0.1509 0.8098
Pd 0.6195 0.6195 0.6057
P 0.6796 0.6796 0.8027
Pb 0.1337 0.1337 0.6184
Pd 0.8491 0.4450 0.1902
P 0.3204 0.3204 0.1973
Th 0.0000 0.0000 0.0000
Pb 0.8663 0.8663 0.3816
Pd 0.4450 0.8491 0.1902

[4]
A plane-wave DFT calculation with PBE was carried out for a relaxed structure of Nd3Co29Si4B10.

* ΔE_f (raw): -38.2 kJ per mole of atoms
* calculated volume: 10.65 Å³ per atom
* crystal system: tetragonal
* raw total energy: -327.0 eV/f.u.
* Fermi-level density of states: 47.37 states/eV/f.u.

a b c (Å): 7.8517 11.1733 11.1733
angles (deg): 90.00 90.00 90.00
Last column: magnetic moment on the atom in μB.
Element x y z (fractional)
Si 0.8244 0.8186 0.0000  -0.02
Co 0.3371 0.3382 0.3252  0.67
B 0.2620 0.5000 0.2560  -0.04
B 0.2620 0.7560 0.0000  -0.04
Nd 0.5000 0.5000 0.5000  -0.07
Co 0.6987 0.8903 0.3903  0.60
Co 0.3371 0.1748 0.8382  0.67
B 0.8930 0.5000 0.0000  -0.04
Si 0.1756 0.0000 0.1814  -0.02
Si 0.8244 0.5000 0.3186  -0.02
Co 0.3371 0.8252 0.8382  0.67
Co 0.6629 0.8382 0.8252  0.67
Co 0.4747 0.2258 0.5000  0.76
Si 0.1756 0.6814 0.5000  -0.02
Co 0.4747 0.7742 0.5000  0.76
Si 0.1756 0.3186 0.5000  -0.02
Co 0.5253 0.5000 0.7742  0.76
Co 0.8888 0.0000 0.8898  0.17
Co 0.3013 0.3903 0.1097  0.60
B 0.7380 0.0000 0.7560  -0.04
Co 0.0284 0.5000 0.8361  0.74
B 0.2620 0.5000 0.7440  -0.04
Co 0.2524 0.1140 0.3860  0.93
Co 0.4747 0.0000 0.7258  0.76
Co 0.6987 0.8903 0.6097  0.60
Co 0.3371 0.6618 0.6748  0.67
B 0.4823 0.8140 0.6860  -0.03
Co 0.6987 0.1097 0.6097  0.60
B 0.4823 0.1860 0.6860  -0.03
Co 0.7476 0.6140 0.8860  0.93
Co 0.4690 0.0000 0.5000  1.90
Co 0.6987 0.1097 0.3903  0.60
Co 0.6629 0.6748 0.6618  0.67
Co 0.3013 0.6097 0.8903  0.60
Co 0.7476 0.6140 0.1140  0.93
B 0.5177 0.3140 0.1860  -0.03
Co 0.8888 0.3898 0.5000  0.17
Nd 0.5000 0.0000 0.0000  -0.07
Co 0.9716 0.1639 0.5000  0.74
B 0.5177 0.3140 0.8140  -0.03
B 0.8517 0.0000 0.5000  -0.03
Si 0.8244 0.1814 0.0000  -0.02
B 0.5177 0.6860 0.1860  -0.03
Nd 0.0000 0.7500 0.2500  -0.08
B 0.4823 0.1860 0.3140  -0.03
Co 0.5253 0.2742 0.0000  0.76
Co 0.3371 0.3382 0.6748  0.67
Nd 0.0000 0.7500 0.7500  -0.08
Nd 0.0000 0.2500 0.7500  -0.08
Co 0.6629 0.1618 0.1748  0.67
B 0.4823 0.8140 0.3140  -0.03
Co 0.6629 0.6748 0.3382  0.67
Co 0.0284 0.3361 0.0000  0.74
Co 0.6629 0.3252 0.3382  0.67
Co 0.3371 0.1748 0.1618  0.67
B 0.7380 0.7440 0.5000  -0.04
B 0.5177 0.6860 0.8140  -0.03
Co 0.7476 0.3860 0.8860  0.93
Co 0.9716 0.0000 0.3361  0.74
Co 0.2524 0.1140 0.6140  0.93
Co 0.6629 0.3252 0.6618  0.67
Co 0.3013 0.6097 0.1097  0.60
Co 0.9716 0.0000 0.6639  0.74
Co 0.7476 0.3860 0.1140  0.93
Co 0.5310 0.5000 0.0000  1.90
Co 0.0284 0.6639 0.0000  0.74
Co 0.3371 0.8252 0.1618  0.67
Co 0.4747 0.0000 0.2742  0.76
B 0.7380 0.0000 0.2440  -0.04
Co 0.2524 0.8860 0.3860  0.93
Nd 0.0000 0.2500 0.2500  -0.08
Co 0.0284 0.5000 0.1639  0.74
Co 0.5253 0.5000 0.2258  0.76
Co 0.1112 0.5000 0.3898  0.17
Co 0.3371 0.6618 0.3252  0.67
Co 0.5253 0.7258 0.0000  0.76
Si 0.8244 0.5000 0.6814  -0.02
B 0.1070 0.0000 0.5000  -0.04
B 0.7380 0.2560 0.5000  -0.04
B 0.1483 0.5000 0.0000  -0.03
Co 0.1112 0.1102 0.0000  0.17
Co 0.3013 0.3903 0.8903  0.60
Co 0.6629 0.8382 0.1748  0.67
Co 0.8888 0.6102 0.5000  0.17
Co 0.1112 0.8898 0.0000  0.17
B 0.2620 0.2440 0.0000  -0.04
Co 0.8888 0.0000 0.1102  0.17
Co 0.6629 0.1618 0.8252  0.67
Co 0.1112 0.5000 0.6102  0.17
Co 0.9716 0.8361 0.5000  0.74
Co 0.2524 0.8860 0.6140  0.93
Si 0.1756 0.0000 0.8186  -0.02

[5]
A plane-wave DFT calculation with PBE was carried out for a relaxed structure of PaO4.

* ΔE_f (raw): -137.2 kJ per mole of atoms
* calculated volume: 19.56 Å³ per atom
* energy relative to the lowest polymorph listed for this composition: 0.294 eV/atom
* crystal system: cubic
* raw total energy: -36.4 eV/f.u.
* Fermi-level density of states: 0.09 states/eV/f.u.

a b c (Å): 4.6074 4.6074 4.6074
angles (deg): 90.00 90.00 90.00
Last column: magnetic moment on the atom in μB.
Element x y z (fractional)
O 0.2447 0.7553 0.7553  0.62
O 0.7553 0.7553 0.2447  0.62
O 0.7553 0.2447 0.7553  0.62
Pa 0.0000 0.0000 0.0000  0.13
O 0.2447 0.2447 0.2447  0.62

[6]
A plane-wave DFT calculation with PBE was carried out for a relaxed structure of Sm7Dy16Ho6.

* calculated volume: 33.80 Å³ per atom
* crystal system: cubic
* raw total energy: -126.7 eV/f.u.
* Fermi-level density of states: 58.27 states/eV/f.u.
* formation energy from the elements: 24.7 kJ/mol of atoms

a b c (Å): 11.1499 11.1499 11.1499
angles (deg): 60.00 60.00 60.00
Element x y z (fractional)
Ho 0.7338 0.7338 0.2662
Sm 0.0000 0.0000 0.5000
Dy 0.6505 0.0486 0.6505
Ho 0.2662 0.2662 0.7338
Dy 0.0486 0.6505 0.6505
Ho 0.7338 0.2662 0.7338
Dy 0.3785 0.8738 0.8738
Ho 0.7338 0.2662 0.2662
Sm 0.0000 0.0000 0.0000
Ho 0.2662 0.7338 0.2662
Dy 0.3495 0.3495 0.9514
Dy 0.1262 0.1262 0.6215
Sm 0.5000 0.0000 0.0000
Dy 0.8738 0.8738 0.8738
Dy 0.6505 0.6505 0.0486
Sm 0.5000 0.0000 0.5000
Sm 0.5000 0.5000 0.0000
Dy 0.1262 0.6215 0.1262
Dy 0.6215 0.1262 0.1262
Dy 0.6505 0.6505 0.6505
Ho 0.2662 0.7338 0.7338
Sm 0.0000 0.5000 0.0000
Dy 0.8738 0.3785 0.8738
Dy 0.3495 0.3495 0.3495
Dy 0.1262 0.1262 0.1262
Sm 0.0000 0.5000 0.5000
Dy 0.3495 0.9514 0.3495
Dy 0.8738 0.8738 0.3785
Dy 0.9514 0.3495 0.3495

[7]
A plane-wave DFT calculation with PBE was carried out for a relaxed structure of TbHoGaTc.

* calculated volume: 21.44 Å³ per atom
* crystal system: cubic
* raw total energy: -23.5 eV/f.u.
* Fermi-level density of states: 3.38 states/eV/f.u.
* formation energy from the elements: -22.8 kJ/mol of atoms

a b c (Å): 4.9498 4.9498 4.9498
angles (deg): 60.00 60.00 60.00
Element x y z (fractional)
Tc 0.7500 0.7500 0.7500
Tb 0.5000 0.5000 0.5000
Ga 0.2500 0.2500 0.2500
Ho 0.0000 0.0000 0.0000

[8]
A plane-wave DFT calculation with PBE was carried out for a relaxed structure of Cs2SbPd.

* ΔE_f (raw): -32.1 kJ per mole of atoms
* calculated volume: 44.97 Å³ per atom
* energy relative to the lowest polymorph listed for this composition: 0.000 eV/atom
* crystal system: monoclinic
* raw total energy: -12.4 eV/f.u.
* Fermi-level density of states: 3.34 states/eV/f.u.

a b c (Å): 4.8440 6.9018 10.8928
angles (deg): 98.96 90.00 90.00
Element x y z (fractional)
Pd 0.7500 0.3090 0.7260
Cs 0.7500 0.7695 0.5903
Sb 0.2500 0.2026 0.7642
Cs 0.7500 0.2678 0.0614
Sb 0.7500 0.7974 0.2358
Cs 0.2500 0.2305 0.4097
Cs 0.2500 0.7322 0.9386
Pd 0.2500 0.6910 0.2740

[9]
A plane-wave DFT calculation with PBE was carried out for a relaxed structure of ErSiNi6B.

* ΔE_f (raw): -23.2 kJ per mole of atoms
* calculated volume: 12.46 Å³ per atom
* crystal system: orthorhombic
* raw total energy: -53.5 eV/f.u.
* Fermi-level density of states: 4.49 states/eV/f.u.

a b c (Å): 5.8481 7.6359 6.9543
angles (deg): 123.30 114.86 90.00
Element x y z (fractional)
Ni 0.0179 0.2679 0.0358
B 0.5000 0.5000 0.0000
Ni 0.6667 0.3717 0.7633
Si 0.5000 0.0000 0.5000
Si 0.0000 0.0000 0.5000
Er 0.7053 0.4553 0.4106
B 0.5000 0.0000 0.0000
Ni 0.3333 0.1084 0.2367
Ni 0.9034 0.1084 0.2367
Ni 0.0966 0.8916 0.7633
Ni 0.5742 0.8242 0.1483
Ni 0.9821 0.7321 0.9642
Ni 0.0966 0.3717 0.7633
Ni 0.4258 0.1758 0.8517
Er 0.2947 0.5447 0.5894
Ni 0.9034 0.6283 0.2367
Ni 0.6667 0.8916 0.7633
Ni 0.3333 0.6283 0.2367

[10]
A plane-wave DFT calculation with PBE was carried out for a relaxed structure of CeHg4Pb2.

* calculated volume: 28.82 Å³ per atom
* crystal system: tetragonal
* raw total energy: -15.7 eV/f.u.
* Fermi-level density of states: 7.01 states/eV/f.u.
* formation energy from the elements: -15.6 kJ/mol of atoms

a b c (Å): 5.0280 5.0280 7.9788
angles (deg): 90.00 90.00 90.00
Last column: magnetic moment on the atom in μB.
Element x y z (fractional)
Hg 0.0000 0.5000 0.7288  -0.01
Pb 0.0000 0.0000 0.0000  0.00
Pb 0.5000 0.5000 0.5000  0.00
Hg 0.0000 0.5000 0.2712  -0.01
Hg 0.5000 0.0000 0.2712  -0.01
Ce 0.5000 0.5000 0.0000  0.82
Hg 0.5000 0.0000 0.7288  -0.01

[11]
A plane-wave DFT calculation with PBE was carried out for a relaxed structure of NdCd4Hg.

* calculated volume: 24.60 Å³ per atom
* energy relative to the lowest polymorph listed for this composition: 0.000 eV/atom
* crystal system: hexagonal
* raw total energy: -10.0 eV/f.u.
* Fermi-level density of states: 3.08 states/eV/f.u.
* formation energy from the elements: -21.2 kJ/mol of atoms

a b c (Å): 5.0450 5.0449 6.6953
angles (deg): 90.00 90.00 120.00
Element x y z (fractional)
Cd 0.6667 0.3333 0.2492
Cd 0.3333 0.6667 0.2492
Cd 0.6667 0.3333 0.7508
Cd 0.3333 0.6667 0.7508
Hg 0.0000 0.0000 0.0000
Nd 0.0000 0.0000 0.5000

[12]
A plane-wave DFT calculation with PBE was carried out for a relaxed structure of Cs3HfW.

* calculated volume: 46.52 Å³ per atom
* energy relative to the lowest polymorph listed for this composition: 0.000 eV/atom
* crystal system: cubic
* raw total energy: -12.6 eV/f.u.
* Fermi-level density of states: 15.15 states/eV/f.u.
* formation energy from the elements: 249.1 kJ/mol of atoms

a b c (Å): 6.1500 6.1500 6.1500
angles (deg): 90.00 90.00 90.00
Element x y z (fractional)
Cs 0.0000 0.5000 0.0000
Cs 0.5000 0.0000 0.0000
Hf 0.5000 0.5000 0.5000
W 0.0000 0.0000 0.0000
Cs 0.0000 0.0000 0.5000

[13]
A plane-wave DFT calculation with PBE was carried out for a relaxed structure of LiTmGa2Cu.

* calculated volume: 17.58 Å³ per atom
* crystal system: tetragonal
* raw total energy: -18.3 eV/f.u.
* Fermi-level density of states: 3.03 states/eV/f.u.
* formation energy from the elements: -34.9 kJ/mol of atoms

a b c (Å): 4.0028 4.0028 6.1736
angles (deg): 108.92 108.92 90.00
Element x y z (fractional)
Ga 0.3865 0.3865 0.7729
Tm 0.0000 0.0000 0.0000
Ga 0.6135 0.6135 0.2271
Cu 0.7500 0.2500 0.5000
Li 0.2500 0.7500 0.5000

[14]
A plane-wave DFT calculation with PBE was carried out for a relaxed structure of HfUTe.

* ΔE_f (raw): -11.2 kJ per mole of atoms
* calculated volume: 30.38 Å³ per atom
* crystal system: orthorhombic
* raw total energy: -24.7 eV/f.u.
* Fermi-level density of states: 5.03 states/eV/f.u.

a b c (Å): 5.0474 3.9343 9.5198
angles (deg): 90.00 105.37 90.00
Element x y z (fractional)
Hf 0.9375 0.2500 0.8751
Te 0.1758 0.2500 0.3515
Te 0.8242 0.7500 0.6485
U 0.5446 0.2500 0.0892
Hf 0.0625 0.7500 0.1249
U 0.4554 0.7500 0.9108

[15]
A plane-wave DFT calculation with PBE was carried out for a relaxed structure of Li2ZnAg6.

* calculated volume: 17.31 Å³ per atom
* energy relative to the lowest polymorph listed for this composition: 0.036 eV/atom
* crystal system: monoclinic
* raw total energy: -22.7 eV/f.u.
* Fermi-level density of states: 2.21 states/eV/f.u.
* formation energy from the elements: -5.7 kJ/mol of atoms

a b c (Å): 2.8492 7.6802 8.2160
angles (deg): 117.87 100.10 90.00
Element x y z (fractional)
Ag 0.1665 0.9814 0.3362
Ag 0.5000 0.3140 0.0000
Ag 0.5000 0.6860 0.0000
Ag 0.8335 0.6453 0.6638
Zn 0.0000 0.0000 0.0000
Ag 0.1665 0.3547 0.3362
Ag 0.8335 0.0186 0.6638
Li 0.6603 0.6664 0.3328
Li 0.3397 0.3336 0.6672

[16]
A plane-wave DFT calculation with PBE was carried out for a relaxed structure of La2Ce2Sb5.

* ΔE_f (raw): -97.3 kJ per mole of atoms
* calculated volume: 31.20 Å³ per atom
* crystal system: orthorhombic
* raw total energy: -51.4 eV/f.u.
* Fermi-level density of states: 6.55 states/eV/f.u.

a b c (Å): 8.3831 9.0454 9.0454
angles (deg): 125.04 90.00 90.00
Last column: magnetic moment on the atom in μB.
Element x y z (fractional)
Sb 0.0000 0.0000 0.0000  0.00
La 0.0000 0.1972 0.8028  -0.01
La 0.5000 0.3028 0.6972  -0.01
Ce 0.8461 0.3478 0.3478  0.12
Sb 0.8496 0.5193 0.7845  0.00
Sb 0.5000 0.5000 0.5000  0.00
La 0.0000 0.8028 0.1972  -0.01
Sb 0.1504 0.2155 0.4807  0.00
Ce 0.6539 0.8478 0.8478  0.12
La 0.5000 0.6972 0.3028  -0.01
Ce 0.1539 0.6522 0.6522  0.12
Sb 0.6504 0.0193 0.2845  0.00
Sb 0.1504 0.4807 0.2155  0.00
Sb 0.6504 0.2845 0.0193  0.00
Sb 0.3496 0.7155 0.9807  0.00
Sb 0.3496 0.9807 0.7155  0.00
Ce 0.3461 0.1522 0.1522  0.12
Sb 0.8496 0.7845 0.5193  0.00

[17]
A plane-wave DFT calculation with PBE was carried out for a relaxed structure of SmPaSb.

* ΔE_f (raw): -23.1 kJ per mole of atoms
* calculated volume: 28.30 Å³ per atom
* energy relative to the lowest polymorph listed for this composition: 0.403 eV/atom
* crystal system: tetragonal
* raw total energy: -19.1 eV/f.u.
* Fermi-level density of states: 5.56 states/eV/f.u.

a b c (Å): 3.9843 3.9843 6.0455
angles (deg): 109.24 109.24 90.00
Last column: magnetic moment on the atom in μB.
Element x y z (fractional)
Pa 0.9331 0.9331 0.8663  0.76
Sb 0.2834 0.2834 0.5668  -0.01
Sm 0.6335 0.6335 0.2670  0.08

[18]
A plane-wave DFT calculation with PBE was carried out for a relaxed structure of Nd2ErPa2Ru5.

* calculated volume: 21.27 Å³ per atom
* crystal system: tetragonal
* raw total energy: -82.2 eV/f.u.
* Fermi-level density of states: 7.63 states/eV/f.u.
* formation energy from the elements: -25.9 kJ/mol of atoms

a b c (Å): 3.6826 10.7476 10.7476
angles (deg): 90.00 90.00 90.00
Element x y z (fractional)
Ru 0.5000 0.0000 0.5000
Ru 0.5000 0.2095 0.0526
Ru 0.5000 0.9474 0.2095
Pa 0.0000 0.1344 0.6344
Ru 0.5000 0.0526 0.7905
Ru 0.5000 0.5000 0.0000
Pa 0.0000 0.3656 0.1344
Ru 0.5000 0.7095 0.4474
Er 0.0000 0.0000 0.0000
Ru 0.5000 0.5526 0.7095
Nd 0.0000 0.3257 0.8257
Pa 0.0000 0.6344 0.8656
Er 0.0000 0.5000 0.5000
Ru 0.5000 0.4474 0.2905
Pa 0.0000 0.8656 0.3656
Ru 0.5000 0.7905 0.9474
Ru 0.5000 0.2905 0.5526
Nd 0.0000 0.1743 0.3257
Nd 0.0000 0.6743 0.1743
Nd 0.0000 0.8257 0.6743

[19]
A plane-wave DFT calculation with PBE was carried out for a relaxed structure of TmNpOsRh.

* calculated volume: 19.34 Å³ per atom
* crystal system: cubic
* raw total energy: -37.2 eV/f.u.
* Fermi-level density of states: 4.52 states/eV/f.u.
* formation energy from the elements: -29.6 kJ/mol of atoms

a b c (Å): 4.7830 4.7830 4.7830
angles (deg): 60.00 60.00 60.00
Last column: magnetic moment on the atom in μB.
Element x y z (fractional)
Np 0.0000 0.0000 0.0000  3.37
Tm 0.5000 0.5000 0.5000  0.07
Rh 0.2500 0.2500 0.2500  -0.28
Os 0.7500 0.7500 0.7500  -0.35